No. 1
Here is a relaxed structure of Fe2SnSe3 from OQMD via LeMat-Bulk. Energies are from PBE-GGA.

The structure belongs to space group Cmcm (No. 63); the cell edges are 3.4739, 13.2837 and 9.8864 Å and the angles 90.00°, 90.00° and 90.00°. Symmetry generates all atoms from Fe at (0.0000, 0.0000, 0.0000), Fe at (0.0000, 0.4046, 0.2500), Sn at (0.0000, 0.2563, 0.7500), Se at (0.0000, 0.0324, 0.2500) and Se at (0.0000, 0.3732, 0.0122).

The density is 6.8 Mg/m³. Its energy is -5.344 eV per atom. The calculated volume comes out at 456.2 Å³/cell. Its crystal system is orthorhombic.


No. 2
Here is a relaxed structure of FeSn10Se10 from OQMD via LeMat-Bulk. Energies are from PBE-GGA.

The structure belongs to space group Pbam (No. 55); the cell edges are 11.8195, 11.8572 and 8.4875 Å and the angles 90.00°, 90.00° and 90.00°. Symmetry generates all atoms from Fe at (0.0000, 0.0000, 0.0000), Sn at (0.0000, 0.5000, 0.2401), Sn at (0.0945, 0.1167, 0.2396), Sn at (0.1713, 0.8634, 0.0000), Sn at (0.1847, 0.7658, 0.5000), Se at (0.0532, 0.2712, 0.5000), Se at (0.0984, 0.3652, 0.0000), Se at (0.1819, 0.6778, 0.1932) and Se at (0.1864, 0.0022, 0.5000).

The density is 5.7 Mg/m³. Its energy is -4.208 eV per atom. The calculated volume comes out at 1189.5 Å³/cell. Its crystal system is orthorhombic.


No. 3
Here is a relaxed structure of ZnFeSnSe3 from OQMD via LeMat-Bulk. Energies are from PBE-GGA.

The structure belongs to space group Cmcm (No. 63); the cell edges are 3.8466, 13.0641 and 10.7060 Å and the angles 90.00°, 90.00° and 90.00°. Symmetry generates all atoms from Zn at (0.0000, 0.0000, 0.0000), Fe at (0.0000, 0.4635, 0.2500), Sn at (0.0000, 0.2238, 0.7500), Se at (0.0000, 0.0808, 0.2500) and Se at (0.0000, 0.3677, 0.0573).

The density is 5.9 Mg/m³. Its energy is -4.230 eV per atom. The calculated volume comes out at 538.0 Å³/cell. Its crystal system is orthorhombic.


No. 4
Here is a relaxed structure of SrFeSe3 from OQMD via LeMat-Bulk. Energies are from PBE-GGA.

The structure belongs to space group Cmmm (No. 65); the cell edges are 6.9278, 6.9526 and 4.9081 Å and the angles 90.00°, 90.00° and 90.00°. Symmetry generates all atoms from Sr at (0.0000, 0.0000, 0.0000), Fe at (0.0000, 0.5000, 0.5000), Se at (0.0000, 0.5000, 0.0000) and Se at (0.2500, 0.2500, 0.5000).

The density is 5.3 Mg/m³. Its energy is -4.792 eV per atom. The calculated volume comes out at 236.4 Å³/cell. Its crystal system is orthorhombic.


No. 5
Here is a relaxed structure of SrFeSe3 from OQMD via LeMat-Bulk. Energies are from PBE-GGA.

The structure belongs to space group Ima2 (No. 46); the cell edges are 11.6909, 6.3179 and 6.3192 Å and the angles 90.00°, 90.00° and 90.00°. Symmetry generates all atoms from Sr at (0.0000, 0.0000, 0.0000), Fe at (0.2500, 0.0006, 0.4896), Se at (0.0000, 0.0000, 0.4985), Se at (0.2500, 0.1472, 0.8421) and Se at (0.2500, 0.6475, 0.6365).

The density is 5.4 Mg/m³. Its energy is -4.915 eV per atom. The calculated volume comes out at 466.8 Å³/cell. Its crystal system is orthorhombic.


No. 6
Here is a relaxed structure of SrFeSe3 from OQMD via LeMat-Bulk. Energies are from PBE-GGA.

The structure belongs to space group I4/mcm (No. 140); the cell edges are 6.3180, 6.3180 and 11.6600 Å and the angles 90.00°, 90.00° and 90.00°. Symmetry generates all atoms from Sr at (0.0000, 0.5000, 0.2500), Fe at (0.0000, 0.0000, 0.0000), Se at (0.0000, 0.0000, 0.2500) and Se at (0.1478, 0.3522, 0.0000).

The density is 5.4 Mg/m³. Its energy is -4.915 eV per atom. The calculated volume comes out at 465.4 Å³/cell. Its crystal system is tetragonal.


No. 7
Here is a relaxed structure of Sr2FeTcSe6 from OQMD via LeMat-Bulk. Energies are from PBE-GGA.

The structure belongs to space group C2/m (No. 12); the cell edges are 12.3602, 6.3437 and 7.6588 Å and the angles 90.00°, 127.38° and 90.00°. Symmetry generates all atoms from Sr at (0.2439, 0.0000, 0.2559), Fe at (0.0000, 0.5000, 0.0000), Tc at (0.0000, 0.0000, 0.5000), Se at (0.0549, 0.2517, 0.8039) and Se at (0.2466, 0.5000, 0.3379).

The density is 5.6 Mg/m³. Its energy is -5.030 eV per atom. The calculated volume comes out at 477.2 Å³/cell. Its crystal system is monoclinic.


No. 8
Here is a relaxed structure of Sr2FeTcSe6 from OQMD via LeMat-Bulk. Energies are from PBE-GGA.

The structure belongs to space group P-1 (No. 2); the cell edges are 6.6376, 6.6521 and 6.8123 Å and the angles 63.86°, 66.92° and 66.07°. Symmetry generates all atoms from Sr at (0.2457, 0.2508, 0.2535), Fe at (0.5000, 0.5000, 0.5000), Tc at (0.0000, 0.0000, 0.0000), Se at (0.1647, 0.7377, 0.3394), Se at (0.2577, 0.6812, 0.8209) and Se at (0.3367, 0.1721, 0.7771).

The density is 5.6 Mg/m³. Its energy is -5.035 eV per atom. The calculated volume comes out at 238.3 Å³/cell. Its crystal system is triclinic.


No. 9
Here is a relaxed structure of SrZnFeSe3 from OQMD via LeMat-Bulk. Energies are from PBE-GGA.

The structure belongs to space group Cmcm (No. 63); the cell edges are 4.0503, 13.4410 and 10.1197 Å and the angles 90.00°, 90.00° and 90.00°. Symmetry generates all atoms from Sr at (0.0000, 0.2491, 0.2500), Zn at (0.0000, 0.5000, 0.0000), Fe at (0.0000, 0.0314, 0.7500), Se at (0.0000, 0.1339, 0.5541) and Se at (0.0000, 0.4270, 0.7500).

The density is 5.4 Mg/m³. Its energy is -4.395 eV per atom. The calculated volume comes out at 550.9 Å³/cell. Its crystal system is orthorhombic.


No. 10
Here is a relaxed structure of Ta11Fe2Se8 from OQMD via LeMat-Bulk. Energies are from PBE-GGA.

The structure belongs to space group Pnnm (No. 58); the cell edges are 12.1719, 19.6762 and 3.4051 Å and the angles 90.00°, 90.00° and 90.00°. Symmetry generates all atoms from Ta at (0.0000, 0.0000, 0.0000), Ta at (0.0493, 0.2445, 0.0000), Ta at (0.0608, 0.1164, 0.5000), Ta at (0.1552, 0.7881, 0.5000), Ta at (0.1686, 0.3533, 0.5000), Ta at (0.1817, 0.9470, 0.5000), Fe at (0.0962, 0.8740, 0.0000), Se at (0.0460, 0.6724, 0.5000), Se at (0.1077, 0.4473, 0.0000), Se at (0.2049, 0.0572, 0.0000) and Se at (0.2130, 0.2164, 0.5000).

The density is 11.1 Mg/m³. Its energy is -8.886 eV per atom. The calculated volume comes out at 815.5 Å³/cell. Its crystal system is orthorhombic.


No. 11
Here is a relaxed structure of Fe2Te2Se from OQMD via LeMat-Bulk. Energies are from PBE-GGA.

The structure belongs to space group P6_3/mmc (No. 194); the cell edges are 3.5446, 3.5446 and 20.6172 Å and the angles 90.00°, 90.00° and 120.00°. Symmetry generates all atoms from Fe at (0.3333, 0.6667, 0.0752), Te at (0.3333, 0.6667, 0.6545) and Se at (0.0000, 0.0000, 0.0000).

The density is 6.6 Mg/m³. Its energy is -5.252 eV per atom. The calculated volume comes out at 224.3 Å³/cell. Its crystal system is hexagonal.


No. 12
Here is a relaxed structure of Fe2TeSe3 from OQMD via LeMat-Bulk. Energies are from PBE-GGA.

The structure belongs to space group Pm (No. 6); the cell edges are 4.9237, 3.6666 and 5.8922 Å and the angles 90.00°, 91.58° and 90.00°. Symmetry generates all atoms from Fe at (0.0000, 0.0000, 0.0000), Fe at (0.4847, 0.5000, 0.5125), Te at (0.7750, 0.0000, 0.3731), Se at (0.2172, 0.0000, 0.6457), Se at (0.2738, 0.5000, 0.1395) and Se at (0.7162, 0.5000, 0.8709).

The density is 7.4 Mg/m³. Its energy is -5.322 eV per atom. The calculated volume comes out at 106.3 Å³/cell. Its crystal system is monoclinic.